1.
Entry from the Alexandria database: TbNdPb after structural relaxation (PBE).

The space group is I4mm (No. 107) and the conventional cell measures 4.195, 4.195 and 10.162 Å, with angles of 90.00, 90.00 and 90.00 degrees. The asymmetric unit holds Tb at (0.000, 0.000, 0.000), Nd at (0.000, 0.000, 0.684) and Pb at (0.000, 0.000, 0.347).

The calculation puts the spin magnetization at 0.4 μB per formula unit. For the energy above the most stable polymorph in this dataset, the calculation gives 142 meV/atom. The calculation puts the mass density at 9477 kg/m3. The calculation puts the density of states at the Fermi level at 8.6 states/eV per cell.

---

2.
Entry from the Alexandria database: Tb3Nd2Pb after structural relaxation (PBE).

The space group is Cmmm (No. 65) and the conventional cell measures 4.918, 15.449 and 4.963 Å, with angles of 90.00, 90.00 and 90.00 degrees. The asymmetric unit holds Tb at (0.000, 0.000, 0.000), Tb at (0.000, 0.334, 0.000), Nd at (0.000, 0.162, 0.500) and Pb at (0.000, 0.500, 0.500).

The calculation puts the spin magnetization at 0.0 μB per formula unit. The calculation puts the mass density at 8565 kg/m3. The calculation puts the density of states at the Fermi level at 13.9 states/eV per cell.

---

Number 1: ΔH_f (0 K) -0.304 eV per atom. Number 2: ΔH_f (0 K) -0.176 eV per atom.